This record from Alexandria via LeMat-Bulk describes a relaxed SrScTi2F crystal. The functional is PBE.

Results
* formation energy from raw total energies: 1.61 eV per atom
* D(E_F): 7.6 states/eV/f.u.

a b c (Å): 4.7718 4.7718 5.7988
angles (deg): 90.00 90.00 90.00
With the nearest neighbours (Å) after each atom.
Positions (direct):
1 Sr 0.0000 0.0000 0.0000  4 Ti 2.39
2 Sc 0.0000 0.0000 0.5000  2 Sr 2.90
3 Ti 0.0000 0.5000 0.0000  2 Sr 2.39
4 Ti 0.5000 0.0000 0.0000  2 Sr 2.39
5 F 0.5000 0.5000 0.5000  4 Sc 3.37, 8 Ti 3.75